1.
A geometry-optimized Nd2SiPt structure, computed with PBE-GGA.

Results
Space-group type ... No. 11
E ... -24.546 eV per formula unit
Magnetic moment ... 0.01 Bohr magnetons per cell

Lattice parameters (Å, degrees): 5.886 4.109 8.137 90.00 91.75 90.00
Atoms (fractional coordinates):
Pt (0.151, 0.750, 0.456)
Pt (0.849, 0.250, 0.544)
Si (0.617, 0.250, 0.034)
Si (0.383, 0.750, 0.966)
Nd (0.875, 0.750, 0.812)
Nd (0.125, 0.250, 0.188)
Nd (0.377, 0.250, 0.673)
Nd (0.623, 0.750, 0.327)


2.
A geometry-optimized NdSi4Pt3 structure, computed with PBE-GGA.

Results
Space-group type ... No. 6
E ... -49.508 eV per formula unit
Magnetic moment ... 0.01 Bohr magnetons per cell

Lattice parameters (Å, degrees): 5.431 3.860 6.740 90.00 95.92 90.00
Atoms (fractional coordinates):
Si (0.105, 0.500, 0.069)
Si (0.791, 0.000, 0.033)
Si (0.817, 0.000, 0.515)
Si (0.473, 0.500, 0.455)
Pt (0.551, 0.500, 0.113)
Pt (0.811, 0.500, 0.759)
Pt (0.152, 0.000, 0.293)
Nd (0.301, 0.000, 0.763)


3.
A geometry-optimized NdSiPt2 structure, computed with PBE-GGA.

Results
Space-group type ... No. 11
E ... -26.119 eV per formula unit
Magnetic moment ... 0.00 Bohr magnetons per cell

Lattice parameters (Å, degrees): 4.231 5.718 6.715 89.00 90.00 89.95
Atoms (fractional coordinates):
Pt (0.250, 0.149, 0.054)
Pt (0.750, 0.839, 0.535)
Pt (0.250, 0.161, 0.465)
Pt (0.750, 0.851, 0.946)
Nd (0.750, 0.364, 0.746)
Nd (0.250, 0.636, 0.254)
Si (0.250, 0.890, 0.753)
Si (0.750, 0.110, 0.247)


4.
A geometry-optimized Nd2SiPt structure, computed with PBE-GGA.

Results
Space-group type ... No. 26
E ... -24.700 eV per formula unit
Magnetic moment ... 0.01 Bohr magnetons per cell

Lattice parameters (Å, degrees): 4.271 5.847 7.848 90.00 90.00 90.00
Atoms (fractional coordinates):
Nd (0.000, 0.626, 0.822)
Nd (0.000, 0.374, 0.322)
Nd (0.500, 0.120, 0.679)
Nd (0.500, 0.880, 0.179)
Si (0.500, 0.625, 0.537)
Si (0.500, 0.375, 0.037)
Pt (0.000, 0.878, 0.462)
Pt (0.000, 0.122, 0.962)